Record 1
An optimized crystal structure of YGa4Cu3. Source: Alexandria, functional PBE.

## Properties
Calculated total energy, eV per atom: -4.16
Formation energy from the elements, eV per atom: -0.2982

The structure in CIF format:
```
data_YGa4Cu3
_chemical_formula_sum 'Y1 Ga4 Cu3'
_cell_length_a 4.080
_cell_length_b 4.080
_cell_length_c 8.162
_cell_angle_alpha 90.00
_cell_angle_beta 90.00
_cell_angle_gamma 90.00
_symmetry_space_group_name_H-M 'P 4/m m m'
_symmetry_Int_Tables_number 123
_symmetry_space_group_name_Hall '-P 4 2'
loop_
_atom_site_label
_atom_site_fract_x
_atom_site_fract_y
_atom_site_fract_z
Y1 0.000 0.000 0.000
Ga1 0.000 0.500 0.321
Cu1 0.000 0.000 0.500
Cu2 0.500 0.500 0.146
```

Record 2
An optimized crystal structure of Y8GaCu2. Source: Alexandria, functional PBE.

## Properties
Calculated total energy, eV per atom: -5.79
Formation energy from the elements, eV per atom: -0.0664

The structure in CIF format:
```
data_Y8GaCu2
_chemical_formula_sum 'Y16 Ga2 Cu4'
_cell_length_a 8.625
_cell_length_b 13.479
_cell_length_c 5.446
_cell_angle_alpha 90.00
_cell_angle_beta 106.78
_cell_angle_gamma 90.00
_symmetry_space_group_name_H-M 'C 1 m 1'
_symmetry_Int_Tables_number 8
loop_
_symmetry_equiv_pos_as_xyz
'x,y,z'
'x,-y,z'
'x+1/2,y+1/2,z'
'x+1/2,-y+1/2,z'
loop_
_atom_site_label
_atom_site_fract_x
_atom_site_fract_y
_atom_site_fract_z
Y1 0.000 0.000 0.000
Y2 0.095 0.374 0.801
Y3 0.175 0.126 0.600
Y4 0.262 0.500 0.382
Y5 0.387 0.229 0.194
Ga1 0.383 0.000 0.121
Cu1 0.383 0.306 0.691
```

Record 3
An optimized crystal structure of YGa2Cu2. Source: Alexandria, functional PBE.

## Properties
Calculated total energy, eV per atom: -4.28
Formation energy from the elements, eV per atom: -0.1405

The structure in CIF format:
```
data_YGa2Cu2
_chemical_formula_sum 'Y2 Ga4 Cu4'
_cell_length_a 7.639
_cell_length_b 7.639
_cell_length_c 2.892
_cell_angle_alpha 90.00
_cell_angle_beta 90.00
_cell_angle_gamma 90.00
_symmetry_space_group_name_H-M 'P 4/m b m'
_symmetry_Int_Tables_number 127
_symmetry_space_group_name_Hall '-P 4 2ab'
loop_
_atom_site_label
_atom_site_fract_x
_atom_site_fract_y
_atom_site_fract_z
Y1 0.000 0.000 0.000
Ga1 0.130 0.370 0.000
Cu1 0.164 0.664 0.500
```